Entry 1:
{"formula": "CrCo2Ni", "functional": "PBE", "state": "optimized geometry", "lattice": [[2.474, 0.000, 0.000], [0.000, 3.557, 0.000], [0.000, 0.000, 4.941]], "species": ["Cr", "Co", "Co", "Ni"], "fractional_positions": [[0.000, 0.000, 0.000], [0.000, 0.000, 0.509], [0.500, 0.500, 0.755], [0.500, 0.500, 0.258]], "sg": "Pmm2"}



Entry 2:
{"formula": "CrCoNi", "functional": "PBE", "state": "optimized geometry", "lattice": [[-1.234, 1.761, 3.730], [1.234, -1.761, 3.730], [1.234, 1.761, -3.730]], "species": ["Cr", "Co", "Ni"], "fractional_positions": [[0.000, 0.000, 0.000], [0.662, 0.662, 0.000], [0.330, 0.330, 0.000]], "polymorph_energy_ev_per_atom": 0.000, "sg": "Imm2"}



Entry 3:
{"formula": "Cr2Co3Ni2", "functional": "PBE", "state": "optimized geometry", "lattice": [[3.944, -1.757, 0.000], [3.944, 1.757, 0.000], [-0.831, 0.000, 5.537]], "species": ["Cr", "Cr", "Co", "Co", "Co", "Ni", "Ni"], "fractional_positions": [[0.149, 0.149, 0.423], [0.851, 0.851, 0.577], [0.000, 0.000, 0.000], [0.286, 0.286, 0.854], [0.714, 0.714, 0.146], [0.431, 0.431, 0.283], [0.569, 0.569, 0.717]], "polymorph_energy_ev_per_atom": 0.004, "sg": "C2/m"}



Entry 4:
{"formula": "CrCo2Ni", "functional": "PBE", "state": "optimized geometry", "lattice": [[-1.750, 1.750, 3.573], [1.750, -1.750, 3.573], [1.750, 1.750, -3.573]], "species": ["Cr", "Co", "Co", "Ni"], "fractional_positions": [[0.000, 0.000, 0.000], [0.250, 0.750, 0.500], [0.500, 0.500, 0.000], [0.750, 0.250, 0.500]], "sg": "I-4m2"}



Entry 5:
{"formula": "CrCo2Ni", "functional": "PBE", "state": "optimized geometry", "lattice": [[4.146, -1.237, 0.000], [4.146, 1.237, 0.000], [-0.727, 0.000, 4.251]], "species": ["Cr", "Co", "Co", "Ni"], "fractional_positions": [[0.000, 0.000, 0.000], [0.249, 0.249, 0.748], [0.503, 0.503, 0.506], [0.752, 0.752, 0.250]], "sg": "Cm"}



Entry 6:
{"formula": "CrCo2Ni4", "functional": "PBE", "state": "optimized geometry", "lattice": [[2.466, -3.504, 0.000], [2.466, 3.504, 0.000], [-0.038, 0.000, 4.858]], "species": ["Cr", "Co", "Co", "Ni", "Ni", "Ni", "Ni"], "fractional_positions": [[0.000, 0.000, 0.000], [0.500, 0.500, 0.000], [0.500, 0.500, 0.500], [0.001, 0.503, 0.256], [0.497, 0.999, 0.744], [0.503, 0.001, 0.256], [0.999, 0.497, 0.744]], "polymorph_energy_ev_per_atom": 0.060, "sg": "C2/m"}



no.,volume (Å³ per atom),DFT formation energy (eV/atom)
1,10.870,0.062
2,10.812,0.014
3,10.960,0.095
4,10.948,0.039
5,10.898,0.085
6,11.993,0.235